(i)
DFT (PBE) results for a geometry-optimized Li3TaNi structure.

Cell lengths 4.168, 4.168, 4.168 Å; angles 90.00, 90.00, 90.00 degrees
Element x y z (fractional)
Ni: 0.000 0.000 0.000
Li: 0.000 0.500 0.000
Li: 0.000 0.000 0.500
Li: 0.500 0.000 0.000
Ta: 0.500 0.500 0.500

Results
Fermi-level density of states, states/eV/f.u.: 6.25

(ii)
DFT (PBE) results for a geometry-optimized Li3TaNi structure.

Cell lengths 4.955, 4.955, 4.955 Å; angles 90.00, 90.00, 90.00 degrees
Last column: magnetic moment on the atom in μB.
Element x y z (fractional)
Ni: 0.500 0.500 0.500  -0.72
Li: 0.000 0.500 0.000  0.05
Li: 0.000 0.000 0.500  0.04
Li: 0.500 0.000 0.000  0.07
Ta: 0.000 0.000 0.000  2.33

Results
Fermi-level density of states, states/eV/f.u.: 5.66

On energetic grounds, (i) is preferred over the next structure by 897 meV per atom.

(i)
DFT (PBE) results for a geometry-optimized LiTbNi2 structure.

Cell lengths 3.762, 4.072, 4.072 Å; angles 90.00, 90.00, 90.00 degrees
Element x y z (fractional)
Ni: 0.000 0.000 0.500
Ni: 0.000 0.500 0.000
Tb: 0.500 0.000 0.000
Li: 0.500 0.500 0.500

Results
Fermi-level density of states, states/eV/f.u.: 1.43

(ii)
DFT (PBE) results for a geometry-optimized LiTbNi2 structure.

Cell lengths 4.091, 4.091, 5.124 Å; angles 66.47, 66.47, 60.00 degrees
Element x y z (fractional)
Ni: 0.797 0.797 0.609
Ni: 0.203 0.203 0.391
Tb: 0.000 0.000 0.000
Li: 0.500 0.500 0.500

Results
Fermi-level density of states, states/eV/f.u.: 2.53

On energetic grounds, (ii) is preferred over the next structure by 38 meV per atom.